This record from Alexandria describes InTeSe2 after structural relaxation. The functional is GGA-PBE.

Computed properties:
**Magnetization**: 0.00 Bohr magnetons per cell
**Excess energy over the best structure of this formula in the dataset**: 10.8 kJ/mol of atoms
**Raw formation energy**: -0.11 eV/atom
**Raw total energy**: -3.3188 eV per atom

abc: 3.8735 3.8496 7.5584
angles: 90.00 90.09 90.00
Space group P2/m (No. 10)
Asymmetric unit:
In: 0.0000 0.0000 0.0000 x1
Te: 0.5000 0.0000 0.5000 x1
Se: 0.5004 0.5000 0.2307 x2